4
Lattice="0.0000 3.0507 3.0507 3.0507 0.0000 3.0507 3.0507 3.0507 0.0000" Properties=species:S:1:pos:R:3 comment="CoTc2Mo, optimized geometry, DFT GGA-PBE" m_tot_mub_per_atom=0.59 e_form_ev_per_atom=0.1870 pbc="T T T"
Tc 1.5254 1.5254 1.5254
Tc 4.5761 4.5761 4.5761
Mo 3.0507 3.0507 3.0507
Co 0.0000 0.0000 0.0000